No. 1
{"formula": "RbTl2AgF4", "functional": "PBE", "state": "optimized geometry", "n_ef_per_ev_atom": 0.00, "crystal_system": "orthorhombic", "cell": [[7.8081, 0.1084, 0.0584], [0.1029, 7.8082, 0.0584], [-3.8544, -3.8571, 5.5393]], "species": ["F", "F", "Ag", "F", "Tl", "Rb", "F", "F", "F", "Tl", "F", "Rb", "Ag", "F", "Tl", "Tl"], "frac_coords": [[0.7489, 0.7516, 0.0077], [0.2850, 0.7142, 0.4996], [0.5000, 0.5000, 0.5000], [0.7858, 0.2150, 0.0004], [0.5000, 0.0000, 0.0000], [0.0000, 0.5000, 0.5000], [0.2511, 0.2484, 0.9923], [0.2516, 0.2489, 0.5077], [0.7484, 0.7511, 0.4923], [0.5000, 0.5000, 0.0000], [0.7150, 0.2858, 0.5004], [0.0000, 0.5000, 0.0000], [0.0000, 0.0000, 0.0000], [0.2142, 0.7850, 0.9996], [0.0000, 0.0000, 0.5000], [0.5000, 0.0000, 0.5000]]}

---

No. 2
{"formula": "RbTlAg2F8", "functional": "PBE", "state": "optimized geometry", "n_ef_per_ev_atom": 0.23, "crystal_system": "tetragonal", "cell": [[-4.8380, 3.9640, -0.9540], [-3.3932, -4.7353, -2.4683], [2.4101, -0.6524, 6.0469]], "species": ["Tl", "F", "F", "F", "Ag", "F", "Rb", "F", "Ag", "F", "F", "F"], "frac_coords": [[0.0000, 0.0000, 0.0000], [0.9366, 0.7621, 0.5016], [0.7243, 0.8331, 0.0293], [0.2379, 0.4350, 0.4984], [0.2500, 0.7500, 0.5000], [0.8038, 0.2757, 0.9707], [0.7500, 0.2500, 0.5000], [0.3050, 0.1962, 0.0293], [0.5000, 0.5000, 0.0000], [0.5650, 0.7395, 0.5016], [0.2605, 0.0634, 0.4984], [0.1669, 0.6950, 0.9707]]}

---

No. 3
{"formula": "Rb2TlAgF4", "functional": "PBE", "state": "optimized geometry", "n_ef_per_ev_atom": 0.00, "crystal_system": "orthorhombic", "cell": [[3.9676, 0.0000, 0.0000], [-1.9838, 6.5689, 0.0000], [0.0000, 0.0000, 13.9208]], "species": ["Ag", "F", "F", "F", "F", "Rb", "Tl", "F", "F", "Rb", "F", "Rb", "F", "Tl", "Ag", "Rb"], "frac_coords": [[0.1338, 0.2675, 0.2500], [0.7336, 0.4672, 0.6334], [0.2664, 0.5328, 0.1334], [0.0000, 0.0000, 0.0000], [0.5442, 0.0884, 0.2500], [0.3697, 0.7393, 0.9563], [0.8670, 0.7340, 0.2500], [0.4558, 0.9116, 0.7500], [0.2664, 0.5328, 0.3666], [0.6303, 0.2607, 0.4563], [0.7336, 0.4672, 0.8666], [0.6303, 0.2607, 0.0437], [0.0000, 0.0000, 0.5000], [0.1330, 0.2660, 0.7500], [0.8662, 0.7325, 0.7500], [0.3697, 0.7393, 0.5437]]}

---

No. 4
{"formula": "RbTl2AgF8", "functional": "PBE", "state": "optimized geometry", "n_ef_per_ev_atom": 0.03, "crystal_system": "triclinic", "cell": [[-1.2063, 2.5190, 3.5303], [-5.7141, -2.2896, 0.4309], [2.4725, -5.3157, 4.6305]], "species": ["F", "Tl", "Tl", "F", "F", "Rb", "F", "F", "Ag", "F", "F", "F"], "frac_coords": [[0.8994, 0.2892, 0.2297], [0.5008, 0.5000, 0.7564], [0.4992, 0.5000, 0.2436], [0.1015, 0.7135, 0.2288], [0.6028, 0.7097, 0.9997], [0.0000, 0.0000, 0.5000], [0.8985, 0.2865, 0.7712], [0.1006, 0.7108, 0.7703], [0.0000, 0.0000, 0.0000], [0.5761, 0.7015, 0.4999], [0.4239, 0.2985, 0.5001], [0.3972, 0.2903, 0.0003]]}

---

No. 5
{"formula": "RbTlAg2F6", "functional": "PBE", "state": "optimized geometry", "crystal_system": "monoclinic", "cell": [[6.3904, 0.0000, 0.0289], [0.0000, 6.5634, 0.0000], [0.0992, 0.0000, 8.9712]], "species": ["F", "F", "F", "Ag", "F", "F", "F", "F", "Ag", "F", "F", "Tl", "Rb", "F", "F", "Rb", "Ag", "F", "Tl", "Ag"], "frac_coords": [[0.1292, 0.2341, 0.1208], [0.1886, 0.1345, 0.4771], [0.6886, 0.3655, 0.9771], [0.5102, 0.4790, 0.2235], [0.6204, 0.1448, 0.2903], [0.3708, 0.7341, 0.3792], [0.3114, 0.6345, 0.0229], [0.6292, 0.2659, 0.6208], [0.0102, 0.0210, 0.7235], [0.8708, 0.7659, 0.8792], [0.8114, 0.8655, 0.5229], [0.5000, 0.0000, 0.5000], [0.5000, 0.0000, 0.0000], [0.8796, 0.6448, 0.2097], [0.3796, 0.8552, 0.7097], [0.0000, 0.5000, 0.5000], [0.4898, 0.5210, 0.7765], [0.1204, 0.3552, 0.7903], [0.0000, 0.5000, 0.0000], [0.9898, 0.9790, 0.2765]]}

---

No. 6
{"formula": "Rb2TlAgF6", "functional": "PBE", "state": "optimized geometry", "e_above_lowest_polymorph_ev_per_atom": 0.000, "crystal_system": "monoclinic", "cell": [[-3.3135, -3.4486, 4.3506], [-0.6304, -4.8260, -4.3056], [7.7908, -3.7052, 3.0124]], "species": ["Ag", "F", "Rb", "F", "F", "F", "Rb", "Rb", "Ag", "Tl", "F", "F", "Tl", "Rb", "F", "F", "F", "F", "F", "F"], "frac_coords": [[0.5000, 0.0000, 0.0000], [0.7267, 0.2979, 0.9693], [0.5051, 0.5303, 0.7504], [0.8003, 0.7734, 0.9661], [0.0621, 0.4823, 0.7615], [0.3003, 0.7266, 0.4661], [0.0051, 0.9697, 0.2504], [0.4949, 0.4697, 0.2496], [0.0000, 0.5000, 0.5000], [0.5000, 0.0000, 0.5000], [0.2733, 0.7021, 0.0307], [0.2267, 0.2021, 0.4693], [0.0000, 0.5000, 0.0000], [0.9949, 0.0303, 0.7496], [0.5621, 0.0177, 0.2615], [0.9379, 0.5177, 0.2385], [0.6997, 0.2734, 0.5339], [0.4379, 0.9823, 0.7385], [0.7733, 0.7979, 0.5307], [0.1997, 0.2266, 0.0339]]}

---

No. 7
{"formula": "RbTlAg2F4", "functional": "PBE", "state": "optimized geometry", "n_ef_per_ev_atom": 0.00, "crystal_system": "orthorhombic", "cell": [[6.4302, 0.0000, 0.0000], [3.2151, 5.0528, 0.0739], [3.2151, 0.4878, 5.0297]], "species": ["Ag", "Rb", "Ag", "F", "F", "F", "F", "Tl"], "frac_coords": [[0.8010, 0.6990, 0.6990], [0.0000, 0.0000, 0.0000], [0.1990, 0.3010, 0.3010], [0.5439, 0.4844, 0.9343], [0.4561, 0.0657, 0.5156], [0.9626, 0.5156, 0.0657], [0.0374, 0.9343, 0.4844], [0.5000, 0.5000, 0.5000]]}

---

No. 8
{"formula": "RbTmAgF5", "functional": "PBE", "state": "optimized geometry", "n_ef_per_ev_atom": 0.00, "crystal_system": "monoclinic", "cell": [[6.5876, -0.4010, 0.1697], [-2.3065, 6.1836, 0.1697], [-1.5614, -2.1091, 7.8511]], "species": ["Tm", "Ag", "F", "F", "Tm", "F", "Rb", "F", "F", "F", "F", "Ag", "F", "Rb", "F", "F"], "frac_coords": [[0.0000, 0.0000, 0.5000], [0.3270, 0.6730, 0.7500], [0.7491, 0.6542, 0.4495], [0.9110, 0.2695, 0.0808], [0.0000, 0.0000, 0.0000], [0.6542, 0.7491, 0.9495], [0.3363, 0.6637, 0.2500], [0.2695, 0.9110, 0.5808], [0.2509, 0.3458, 0.5505], [0.9414, 0.0586, 0.7500], [0.0586, 0.9414, 0.2500], [0.6730, 0.3270, 0.2500], [0.0890, 0.7305, 0.9192], [0.6637, 0.3363, 0.7500], [0.7305, 0.0890, 0.4192], [0.3458, 0.2509, 0.0505]]}

---

No. 9
{"formula": "RbTmAgF6", "functional": "PBE", "state": "optimized geometry", "n_ef_per_ev_atom": 0.49, "crystal_system": "orthorhombic", "cell": [[-1.7703, -7.4135, 3.0610], [7.2367, -0.6507, 2.6092], [-4.3626, 6.5459, 2.3108]], "species": ["Ag", "F", "F", "Tm", "F", "F", "F", "Rb", "F", "F", "F", "F", "F", "F", "F", "Tm", "Rb", "Ag"], "frac_coords": [[0.5000, 0.0000, 0.0000], [0.5607, 0.9026, 0.7245], [0.1940, 0.9440, 0.3879], [0.5000, 0.0000, 0.5000], [0.4393, 0.0974, 0.2755], [0.4414, 0.6914, 0.8828], [0.8362, 0.6782, 0.2755], [0.8033, 0.5533, 0.6067], [0.5586, 0.3086, 0.1172], [0.5607, 0.3218, 0.7245], [0.4393, 0.6782, 0.2755], [0.8060, 0.0560, 0.6121], [0.1638, 0.3218, 0.7245], [0.1638, 0.9026, 0.7245], [0.8362, 0.0974, 0.2755], [0.0000, 0.0000, 0.5000], [0.1967, 0.4467, 0.3933], [0.5000, 0.5000, 0.0000]]}

---

No. 10
{"formula": "Rb2Tm3AgF12", "functional": "PBE", "state": "optimized geometry", "n_ef_per_ev_atom": 0.00, "crystal_system": "trigonal", "cell": [[-1.8797, -6.9740, 3.0934], [5.9893, -4.7778, 1.7435], [1.5823, -0.9772, 7.6342]], "species": ["Tm", "F", "F", "Tm", "F", "Tm", "F", "F", "Ag", "F", "F", "F", "F", "F", "F", "Rb", "F", "Rb"], "frac_coords": [[0.0000, 0.5000, 0.0000], [0.7070, 0.0818, 0.7070], [0.1133, 0.6119, 0.1133], [0.5000, 0.0000, 0.0000], [0.9182, 0.2930, 0.2930], [0.0000, 0.0000, 0.5000], [0.2930, 0.9182, 0.2930], [0.6119, 0.1133, 0.1133], [0.0000, 0.0000, 0.0000], [0.8867, 0.3881, 0.8867], [0.1133, 0.1133, 0.6119], [0.2930, 0.2930, 0.9182], [0.7070, 0.7070, 0.0818], [0.3881, 0.8867, 0.8867], [0.0818, 0.7070, 0.7070], [0.3607, 0.3607, 0.3607], [0.8867, 0.8867, 0.3881], [0.6393, 0.6393, 0.6393]]}

---

No. 11
{"formula": "RbTm2AgF8", "functional": "PBE", "state": "optimized geometry", "n_ef_per_ev_atom": 0.00, "crystal_system": "monoclinic", "cell": [[3.8192, 0.0160, -0.0015], [-0.0232, 6.3085, -0.0184], [0.0031, -0.0039, 7.5987]], "species": ["F", "F", "Tm", "Rb", "F", "Tm", "F", "F", "F", "Ag", "F", "F"], "frac_coords": [[0.4997, 0.7032, 0.0008], [0.0002, 0.3008, 0.2402], [0.5000, 0.4992, 0.2469], [0.0000, 0.0000, 0.5000], [0.5000, 0.3078, 0.4996], [0.5000, 0.5008, 0.7531], [0.0002, 0.3044, 0.7585], [0.9998, 0.6956, 0.2415], [0.5000, 0.6922, 0.5004], [0.0000, 0.0000, 0.0000], [0.9998, 0.6992, 0.7598], [0.5003, 0.2968, 0.9992]]}

---

No. 12
{"formula": "Rb2TmAgF6", "functional": "PBE", "state": "optimized geometry", "n_ef_per_ev_atom": 0.00, "crystal_system": "monoclinic", "cell": [[-1.7945, 0.9517, 6.1644], [-3.8604, -5.2549, -0.3125], [6.8216, -5.1775, 2.7945]], "species": ["Rb", "F", "Tm", "Rb", "F", "F", "Ag", "F", "F", "F", "F", "Rb", "F", "Tm", "F", "Rb", "F", "Ag", "F", "F"], "frac_coords": [[0.0047, 0.9696, 0.2504], [0.1905, 0.2360, 0.0361], [0.0000, 0.5000, 0.0000], [0.9953, 0.0304, 0.7496], [0.9354, 0.5195, 0.2337], [0.0646, 0.4805, 0.7663], [0.0000, 0.5000, 0.5000], [0.7636, 0.8061, 0.5313], [0.6905, 0.2640, 0.5361], [0.7364, 0.3061, 0.9687], [0.3095, 0.7360, 0.4639], [0.5047, 0.5304, 0.7504], [0.2636, 0.6939, 0.0313], [0.5000, 0.0000, 0.5000], [0.2364, 0.1939, 0.4687], [0.4953, 0.4696, 0.2496], [0.5646, 0.0195, 0.2663], [0.5000, 0.0000, 0.0000], [0.8095, 0.7640, 0.9639], [0.4354, 0.9805, 0.7337]]}

---

Uncorrected energy, record by record: -3.755; -3.603; -3.803; -3.798; -3.730; -3.942; -3.659; -5.231; -4.985; -5.736; -5.689; -5.043 eV per atom